No. 1
AlMoPdPb2 (GGA-PBE, relaxed); calculated volume = 135 Å³ per cell; total moment = 0.79 μB per atom; crystal system = tetragonal; symmetry = P4/mmm, No. 123; energy of formation = 19.6 kcal/mol of atoms
1.0
-3.491 -4.020 0.639
3.515 -2.849 1.280
-0.707 1.427 5.121
Pb Mo Al Pd
2 1 1 1
Direct
0.000 0.000 0.500
0.500 0.000 0.000
0.500 0.500 0.500
0.000 0.500 0.000
0.000 0.000 0.000



No. 2
La6PmPrTh2 (GGA-PBE, relaxed); calculated volume = 718 Å³ per cell; total moment = 0.00 μB per atom; crystal system = monoclinic; symmetry = C2/c, No. 15; energy of formation = 3.0 kcal/mol of atoms
1.0
10.050 -2.678 -2.779
0.519 8.582 -1.976
0.519 -2.293 8.503
La Pm Pr Th
12 2 2 4
Direct
0.043 0.104 0.741
0.457 0.259 0.896
0.957 0.896 0.259
0.543 0.741 0.104
0.332 0.988 0.439
0.168 0.561 0.012
0.668 0.012 0.561
0.832 0.439 0.988
0.117 0.687 0.491
0.383 0.509 0.313
0.883 0.313 0.509
0.617 0.491 0.687
0.250 0.402 0.598
0.750 0.598 0.402
0.250 0.991 0.009
0.750 0.009 0.991
0.456 0.820 0.737
0.044 0.263 0.180
0.544 0.180 0.263
0.956 0.737 0.820



What did the second record say?
La6PmPrTh2 (GGA-PBE, relaxed); calculated volume = 718 Å³ per cell; total moment = 0.00 μB per atom; crystal system = monoclinic; symmetry = C2/c, No. 15; energy of formation = 3.0 kcal/mol of atoms
1.0
10.050 -2.678 -2.779
0.519 8.582 -1.976
0.519 -2.293 8.503
La Pm Pr Th
12 2 2 4
Direct
0.043 0.104 0.741
0.457 0.259 0.896
0.957 0.896 0.259
0.543 0.741 0.104
0.332 0.988 0.439
0.168 0.561 0.012
0.668 0.012 0.561
0.832 0.439 0.988
0.117 0.687 0.491
0.383 0.509 0.313
0.883 0.313 0.509
0.617 0.491 0.687
0.250 0.402 0.598
0.750 0.598 0.402
0.250 0.991 0.009
0.750 0.009 0.991
0.456 0.820 0.737
0.044 0.263 0.180
0.544 0.180 0.263
0.956 0.737 0.820



Question: Which of these has the lowest calculated volume?
Answer: AlMoPdPb2



What did the second record say?
La6PmPrTh2 (GGA-PBE, relaxed); calculated volume = 718 Å³ per cell; total moment = 0.00 μB per atom; crystal system = monoclinic; symmetry = C2/c, No. 15; energy of formation = 3.0 kcal/mol of atoms
1.0
10.050 -2.678 -2.779
0.519 8.582 -1.976
0.519 -2.293 8.503
La Pm Pr Th
12 2 2 4
Direct
0.043 0.104 0.741
0.457 0.259 0.896
0.957 0.896 0.259
0.543 0.741 0.104
0.332 0.988 0.439
0.168 0.561 0.012
0.668 0.012 0.561
0.832 0.439 0.988
0.117 0.687 0.491
0.383 0.509 0.313
0.883 0.313 0.509
0.617 0.491 0.687
0.250 0.402 0.598
0.750 0.598 0.402
0.250 0.991 0.009
0.750 0.009 0.991
0.456 0.820 0.737
0.044 0.263 0.180
0.544 0.180 0.263
0.956 0.737 0.820



Question: Look up the energy of formation of the second one.
Answer: 3.0 kcal/mol of atoms